# MgTc2Te | Alexandria | PBE-GGA | optimized geometry
data_MgTc2Te
_cell_length_a 3.1249
_cell_length_b 3.1249
_cell_length_c 25.3558
_cell_angle_alpha 90.00
_cell_angle_beta 90.00
_cell_angle_gamma 120.00
_symmetry_space_group_name_H-M 'R -3 m'
_symmetry_Int_Tables_number 166
_symmetry_space_group_name_Hall '-R 3 2"'
loop_
_atom_site_label
_atom_site_fract_x
_atom_site_fract_y
_atom_site_fract_z
Mg1 0.0000 0.0000 0.0000
Tc1 0.0000 0.0000 0.2443
Te1 0.0000 0.0000 0.5000
# energy above the most stable polymorph in this dataset: 0.3348 eV per atom
# formation energy from raw total energies: 1.9 eV/f.u.
# calculated total energy: -5.8959 eV per atom
# calculated density: 8.08 g cm⁻³